Arrangement one

This record from Alexandria describes crystalline Hf2ZrV at its relaxed geometry. The functional is PBE.

Lattice parameters (Å, degrees): 6.8982 6.8982 6.8982 90.00 90.00 90.00
With the nearest neighbours (Å) after each atom.
Sites, in units of the cell vectors:
Hf1 0.2500 0.2500 0.2500  4 Zr 2.99, 4 V 2.99
Hf2 0.2500 0.2500 0.7500  4 Zr 2.99, 4 V 2.99
Hf3 0.2500 0.7500 0.2500  4 Zr 2.99, 4 V 2.99
Hf4 0.2500 0.7500 0.7500  4 Zr 2.99, 4 V 2.99
Hf5 0.7500 0.2500 0.2500  4 Zr 2.99, 4 V 2.99
Hf6 0.7500 0.2500 0.7500  4 Zr 2.99, 4 V 2.99
Hf7 0.7500 0.7500 0.2500  4 Zr 2.99, 4 V 2.99
Hf8 0.7500 0.7500 0.7500  4 Zr 2.99, 4 V 2.99
Zr1 0.0000 0.0000 0.0000  8 Hf 2.99
Zr2 0.0000 0.5000 0.5000  8 Hf 2.99
Zr3 0.5000 0.0000 0.5000  8 Hf 2.99
Zr4 0.5000 0.5000 0.0000  8 Hf 2.99
V1 0.0000 0.0000 0.5000  8 Hf 2.99
V2 0.0000 0.5000 0.0000  8 Hf 2.99
V3 0.5000 0.0000 0.0000  8 Hf 2.99
V4 0.5000 0.5000 0.5000  8 Hf 2.99

***

Arrangement two

This record from Alexandria describes crystalline Hf2ZrV at its relaxed geometry. The functional is PBE.

Lattice parameters (Å, degrees): 7.5945 7.5945 5.8694 90.00 90.00 90.00
With the nearest neighbours (Å) after each atom.
Sites, in units of the cell vectors:
Hf1 0.2202 0.2500 0.1250  2 V 2.63, 2 Zr 2.94
Hf2 0.2500 0.7202 0.3750  2 V 2.63, 2 Zr 2.94
Hf3 0.2500 0.7798 0.8750  2 V 2.63, 2 Zr 2.94
Hf4 0.2798 0.2500 0.6250  2 V 2.63, 2 Zr 2.94
Hf5 0.7202 0.7500 0.6250  2 V 2.63, 2 Zr 2.94
Hf6 0.7500 0.2202 0.8750  2 V 2.63, 2 Zr 2.94
Hf7 0.7500 0.2798 0.3750  2 V 2.63, 2 Zr 2.94
Hf8 0.7798 0.7500 0.1250  2 V 2.63, 2 Zr 2.94
Zr1 0.0000 0.0000 0.5000  2 V 2.93, 4 Hf 2.94
Zr2 0.0000 0.5000 0.7500  2 V 2.93, 4 Hf 2.94
Zr3 0.5000 0.0000 0.2500  2 V 2.93, 4 Hf 2.94
Zr4 0.5000 0.5000 0.0000  2 V 2.93, 4 Hf 2.94
V1 0.0000 0.0000 0.0000  4 Hf 2.63, 2 Zr 2.93
V2 0.0000 0.5000 0.2500  4 Hf 2.63, 2 Zr 2.93
V3 0.5000 0.0000 0.7500  4 Hf 2.63, 2 Zr 2.93
V4 0.5000 0.5000 0.5000  4 Hf 2.63, 2 Zr 2.93

***

Stability ranking, top entry: arrangement one; the second entry is 38.2 kJ/mol of atoms less favorable.